The following is a PBE with a Hubbard U calculation of an optimized crystal structure of V2CdGeO6, from Alexandria via LeMat-Bulk.

Lattice parameters (Å, degrees): 5.013 5.013 5.276 90.00 90.00 90.00
Fractional coordinates of all 10 atoms:
V 0.000 0.500 0.000
V 0.500 0.000 0.000
Cd 0.000 0.000 0.557
Ge 0.500 0.500 0.657
O 0.000 0.000 0.170
O 0.261 0.261 0.810
O 0.261 0.739 0.810
O 0.500 0.500 0.323
O 0.739 0.261 0.810
O 0.739 0.739 0.810

Properties
Electronic total energy: -63.4 eV/cell
Symmetry: No. 99